Entry from the Alexandria database: a relaxed structure of CoCuSb2 (PBE).

Summary:
Formation energy (no corrections)   296 meV per atom
Fermi-level density of states   1.57 states/eV per cell

a = 4.6475 Å, b = 4.6475 Å, c = 4.6475 Å
α = 60.00°, β = 60.00°, γ = 60.00°
Element x y z (fractional)
Co (0.0000, 0.0000, 0.0000)
Cu (0.5000, 0.5000, 0.5000)
Sb (0.2500, 0.2500, 0.2500)
Sb (0.7500, 0.7500, 0.7500)


Entry from the Alexandria database: a relaxed structure of Tb6Tm8Tl (PBE).

Summary:
Total energy   -4.181 eV per atom
Fermi-level density of states   19.96 states/eV per cell

a = 9.1528 Å, b = 9.1528 Å, c = 6.6583 Å
α = 90.00°, β = 90.00°, γ = 120.00°
Element x y z (fractional)
Tb (0.0822, 0.6841, 0.0989)
Tb (0.3159, 0.3980, 0.0989)
Tb (0.3980, 0.0822, 0.9011)
Tb (0.6020, 0.9178, 0.0989)
Tb (0.6841, 0.6020, 0.9011)
Tb (0.9178, 0.3159, 0.9011)
Tm (0.0210, 0.3374, 0.3964)
Tm (0.3165, 0.9790, 0.3964)
Tm (0.3333, 0.6667, 0.6856)
Tm (0.3374, 0.3165, 0.6036)
Tm (0.6626, 0.6835, 0.3964)
Tm (0.6667, 0.3333, 0.3144)
Tm (0.6835, 0.0210, 0.6036)
Tm (0.9790, 0.6626, 0.6036)
Tl (0.0000, 0.0000, 0.0000)


Entry from the Alexandria database: a relaxed structure of CdTeAu (PBE).

Summary:
E above lowest polymorph   0.055 eV/atom
Formation energy (no corrections)   -117 meV per atom
Fermi-level density of states   1.83 states/eV per cell

a = 4.5598 Å, b = 4.5658 Å, c = 9.2634 Å
α = 86.96°, β = 87.39°, γ = 60.77°
Element x y z (fractional)
Cd (0.0000, 0.0000, 0.0000)
Cd (0.3396, 0.3428, 0.7415)
Te (0.6640, 0.6602, 0.2438)
Te (0.6815, 0.6883, 0.5962)
Au (0.3311, 0.3290, 0.1228)
Au (0.6675, 0.6689, 0.9009)


Entry from the Alexandria database: a relaxed structure of SrZrAl2 (PBE).

Summary:
E above lowest polymorph   0.260 eV/atom
Fermi-level density of states   3.27 states/eV per cell

a = 5.0331 Å, b = 5.0331 Å, c = 6.8231 Å
α = 97.68°, β = 97.68°, γ = 37.89°
Element x y z (fractional)
Sr (0.0000, 0.0000, 0.0000)
Zr (0.5000, 0.5000, 0.5000)
Al (0.2453, 0.2453, 0.6780)
Al (0.7547, 0.7547, 0.3220)


Entry from the Alexandria database: a relaxed structure of PaAlRe2 (PBE).

Summary:
E above lowest polymorph   0.067 eV/atom
Fermi-level density of states   5.78 states/eV per cell

a = 4.6371 Å, b = 4.6371 Å, c = 4.6371 Å
α = 60.00°, β = 60.00°, γ = 60.00°
Element x y z (fractional)
Pa (0.0000, 0.0000, 0.0000)
Al (0.5000, 0.5000, 0.5000)
Re (0.2500, 0.2500, 0.2500)
Re (0.7500, 0.7500, 0.7500)


Entry from the Alexandria database: a relaxed structure of SrTa2Pt (PBE).

Summary:
E above lowest polymorph   0.609 eV/atom
Fermi-level density of states   4.29 states/eV per cell

a = 4.7620 Å, b = 4.7620 Å, c = 4.7620 Å
α = 60.00°, β = 60.00°, γ = 60.00°
Element x y z (fractional)
Sr (0.0000, 0.0000, 0.0000)
Ta (0.2500, 0.2500, 0.2500)
Ta (0.7500, 0.7500, 0.7500)
Pt (0.5000, 0.5000, 0.5000)


Entry from the Alexandria database: a relaxed structure of Dy6Al2Sn (PBE).

Summary:
Total energy   -4.703 eV per atom
Fermi-level density of states   14.53 states/eV per cell

a = 8.6968 Å, b = 8.6968 Å, c = 8.6968 Å
α = 113.03°, β = 111.50°, γ = 104.02°
Element x y z (fractional)
Dy (0.0286, 0.8218, 0.2068)
Dy (0.2418, 0.5392, 0.2974)
Dy (0.2418, 0.9444, 0.7026)
Dy (0.2758, 0.3145, 0.5903)
Dy (0.2758, 0.6855, 0.9612)
Dy (0.3850, 0.1782, 0.2068)
Dy (0.6150, 0.8218, 0.7932)
Dy (0.7242, 0.3145, 0.0388)
Dy (0.7242, 0.6855, 0.4097)
Dy (0.7582, 0.0556, 0.2974)
Dy (0.7582, 0.4608, 0.7026)
Dy (0.9714, 0.1782, 0.7932)
Al (0.0000, 0.1423, 0.1423)
Al (0.0000, 0.8577, 0.8577)
Al (0.3794, 0.3794, 0.0000)
Al (0.6206, 0.6206, 0.0000)
Sn (0.0000, 0.5000, 0.5000)
Sn (0.5000, 0.0000, 0.5000)


Entry from the Alexandria database: a relaxed structure of CaMgSeBr2 (PBE).

Summary:
E above lowest polymorph   0.408 eV/atom
Formation energy (no corrections)   -870 meV per atom
Fermi-level density of states   2.30 states/eV per cell

a = 5.3987 Å, b = 5.3987 Å, c = 5.8240 Å
α = 90.00°, β = 90.00°, γ = 90.00°
Element x y z (fractional)
Ca (0.0000, 0.0000, 0.0000)
Mg (0.5000, 0.5000, 0.5000)
Se (0.0000, 0.0000, 0.5000)
Br (0.0000, 0.5000, 0.0000)
Br (0.5000, 0.0000, 0.0000)


Entry from the Alexandria database: a relaxed structure of SrSn2Hg (PBE).

Summary:
Total energy   -2.722 eV per atom
Fermi-level density of states   5.07 states/eV per cell

a = 11.1833 Å, b = 11.1833 Å, c = 11.1833 Å
α = 154.31°, β = 154.31°, γ = 36.65°
Element x y z (fractional)
Sr (0.0000, 0.0000, 0.0000)
Sr (0.7500, 0.2500, 0.5000)
Sn (0.1969, 0.6250, 0.0719)
Sn (0.3750, 0.4469, 0.5719)
Sn (0.5531, 0.1250, 0.9281)
Sn (0.8750, 0.8031, 0.4281)
Hg (0.2500, 0.7500, 0.5000)
Hg (0.5000, 0.5000, 0.0000)


Entry from the Alexandria database: a relaxed structure of Sr2Cr2Se (PBE).

Summary:
E above lowest polymorph   0.000 eV/atom
Formation energy (no corrections)   -6 meV per atom
Fermi-level density of states   3.59 states/eV per cell

a = 9.8383 Å, b = 9.8383 Å, c = 9.8383 Å
α = 159.33°, β = 159.33°, γ = 29.40°
Element x y z (fractional)
Sr (0.0997, 0.0997, 0.0000)
Sr (0.9003, 0.9003, 0.0000)
Cr (0.2500, 0.7500, 0.5000)
Cr (0.7500, 0.2500, 0.5000)
Se (0.5000, 0.5000, 0.0000)


Entry from the Alexandria database: a relaxed structure of Pu2AsBr (PBE).

Summary:
Formation energy (no corrections)   -901 meV per atom
Fermi-level density of states   12.45 states/eV per cell

a = 5.1077 Å, b = 5.1077 Å, c = 5.1077 Å
α = 60.00°, β = 60.00°, γ = 60.00°
Element x y z (fractional)
Pu (0.2500, 0.2500, 0.2500)
Pu (0.7500, 0.7500, 0.7500)
As (0.0000, 0.0000, 0.0000)
Br (0.5000, 0.5000, 0.5000)


Entry from the Alexandria database: a relaxed structure of Nd2Y8Zn (PBE).

Summary:
Total energy   -5.699 eV per atom
Fermi-level density of states   18.59 states/eV per cell

a = 10.0679 Å, b = 10.0679 Å, c = 6.4792 Å
α = 94.27°, β = 94.27°, γ = 31.99°
Element x y z (fractional)
Nd (0.2426, 0.2426, 0.3324)
Nd (0.7574, 0.7574, 0.6676)
Y (0.0418, 0.0418, 0.2540)
Y (0.1555, 0.1555, 0.8129)
Y (0.3463, 0.3463, 0.8724)
Y (0.4242, 0.4242, 0.3869)
Y (0.5758, 0.5758, 0.6131)
Y (0.6537, 0.6537, 0.1276)
Y (0.8445, 0.8445, 0.1871)
Y (0.9582, 0.9582, 0.7460)
Zn (0.5000, 0.5000, 0.0000)


Entry from the Alexandria database: a relaxed structure of ZnBr2 (PBE).

Summary:
Formation energy (no corrections)   -697 meV per atom
Fermi-level density of states   0.00 states/eV per cell

a = 6.5399 Å, b = 6.5399 Å, c = 4.9676 Å
α = 97.32°, β = 97.32°, γ = 31.99°
Element x y z (fractional)
Zn (0.0000, 0.0000, 0.0000)
Br (0.3801, 0.3801, 0.7792)
Br (0.6199, 0.6199, 0.2208)


Entry from the Alexandria database: a relaxed structure of Pm12ScCd3 (PBE).

Summary:
Total energy   -4.200 eV per atom
Fermi-level density of states   23.75 states/eV per cell

a = 4.9552 Å, b = 4.9552 Å, c = 20.0333 Å
α = 90.00°, β = 90.00°, γ = 90.00°
Element x y z (fractional)
Pm (0.0000, 0.0000, 0.0000)
Pm (0.0000, 0.0000, 0.2482)
Pm (0.0000, 0.0000, 0.5000)
Pm (0.0000, 0.0000, 0.7518)
Pm (0.0000, 0.5000, 0.1239)
Pm (0.0000, 0.5000, 0.3733)
Pm (0.0000, 0.5000, 0.6267)
Pm (0.0000, 0.5000, 0.8761)
Pm (0.5000, 0.0000, 0.1239)
Pm (0.5000, 0.0000, 0.3733)
Pm (0.5000, 0.0000, 0.6267)
Pm (0.5000, 0.0000, 0.8761)
Sc (0.5000, 0.5000, 0.5000)
Cd (0.5000, 0.5000, 0.0000)
Cd (0.5000, 0.5000, 0.2454)
Cd (0.5000, 0.5000, 0.7546)


Entry from the Alexandria database: a relaxed structure of NbGe2Br2 (PBE).

Summary:
Formation energy (no corrections)   627 meV per atom
Fermi-level density of states   6.82 states/eV per cell

a = 7.9697 Å, b = 7.9697 Å, c = 3.3982 Å
α = 90.00°, β = 90.00°, γ = 90.00°
Element x y z (fractional)
Nb (0.0000, 0.0000, 0.0000)
Nb (0.5000, 0.5000, 0.0000)
Ge (0.1807, 0.3193, 0.5000)
Ge (0.3193, 0.8193, 0.5000)
Ge (0.6807, 0.1807, 0.5000)
Ge (0.8193, 0.6807, 0.5000)
Br (0.1391, 0.6391, 0.0000)
Br (0.3609, 0.1391, 0.0000)
Br (0.6391, 0.8609, 0.0000)
Br (0.8609, 0.3609, 0.0000)


Entry from the Alexandria database: a relaxed structure of ScRhSN2 (PBE).

Summary:
E above lowest polymorph   0.000 eV/atom
Formation energy (no corrections)   303 meV per atom
Fermi-level density of states   3.53 states/eV per cell

a = 3.8484 Å, b = 3.8484 Å, c = 4.8431 Å
α = 90.00°, β = 90.00°, γ = 90.00°
Element x y z (fractional)
Sc (0.0000, 0.0000, 0.0000)
Rh (0.5000, 0.5000, 0.5000)
S (0.5000, 0.5000, 0.0000)
N (0.0000, 0.5000, 0.5000)
N (0.5000, 0.0000, 0.5000)


Entry from the Alexandria database: a relaxed structure of Pr4Er15Tm (PBE).

Summary:
Total energy   -4.576 eV per atom
Fermi-level density of states   27.23 states/eV per cell

a = 5.0233 Å, b = 5.0233 Å, c = 24.9934 Å
α = 90.00°, β = 90.00°, γ = 90.00°
Element x y z (fractional)
Pr (0.0000, 0.0000, 0.1008)
Pr (0.0000, 0.0000, 0.3010)
Pr (0.0000, 0.0000, 0.6990)
Pr (0.0000, 0.0000, 0.8992)
Er (0.0000, 0.5000, 0.0000)
Er (0.0000, 0.5000, 0.2012)
Er (0.0000, 0.5000, 0.4024)
Er (0.0000, 0.5000, 0.5976)
Er (0.0000, 0.5000, 0.7988)
Er (0.5000, 0.0000, 0.0000)
Er (0.5000, 0.0000, 0.2012)
Er (0.5000, 0.0000, 0.4024)
Er (0.5000, 0.0000, 0.5976)
Er (0.5000, 0.0000, 0.7988)
Er (0.5000, 0.5000, 0.1005)
Er (0.5000, 0.5000, 0.3019)
Er (0.5000, 0.5000, 0.5000)
Er (0.5000, 0.5000, 0.6981)
Er (0.5000, 0.5000, 0.8995)
Tm (0.0000, 0.0000, 0.5000)


Entry from the Alexandria database: a relaxed structure of K3ErNp2Se6 (PBE).

Summary:
Formation energy (no corrections)   -1414 meV per atom
Fermi-level density of states   20.62 states/eV per cell

a = 7.3496 Å, b = 7.3496 Å, c = 8.0580 Å
α = 98.74°, β = 98.74°, γ = 120.00°
Element x y z (fractional)
K (0.0000, 0.0000, 0.0000)
K (0.3331, 0.6669, 0.0000)
K (0.6669, 0.3331, 0.0000)
Er (0.5000, 0.5000, 0.5000)
Np (0.1667, 0.8333, 0.5000)
Np (0.8333, 0.1667, 0.5000)
Se (0.1026, 0.4315, 0.2945)
Se (0.2395, 0.2395, 0.7053)
Se (0.4315, 0.1026, 0.2945)
Se (0.5685, 0.8974, 0.7055)
Se (0.7605, 0.7605, 0.2947)
Se (0.8974, 0.5685, 0.7055)


Entry from the Alexandria database: a relaxed structure of SiP2O8 (PBE).

Summary:
Formation energy (no corrections)   -1848 meV per atom
Fermi-level density of states   4.71 states/eV per cell

a = 4.9747 Å, b = 4.9747 Å, c = 6.4133 Å
α = 90.00°, β = 90.00°, γ = 120.00°
Element x y z (fractional)
Si (0.0000, 0.0000, 0.0000)
P (0.3333, 0.6667, 0.2380)
P (0.6667, 0.3333, 0.7620)
O (0.1652, 0.3305, 0.1605)
O (0.1652, 0.8348, 0.1605)
O (0.3305, 0.1652, 0.8395)
O (0.3333, 0.6667, 0.4776)
O (0.6667, 0.3333, 0.5224)
O (0.6695, 0.8348, 0.1605)
O (0.8348, 0.1652, 0.8395)
O (0.8348, 0.6695, 0.8395)


Entry from the Alexandria database: a relaxed structure of Pu6Te3P2N (PBE).

Summary:
Formation energy (no corrections)   -1018 meV per atom
Fermi-level density of states   56.43 states/eV per cell

a = 7.0055 Å, b = 7.0055 Å, c = 7.3763 Å
α = 99.20°, β = 99.20°, γ = 119.83°
Element x y z (fractional)
Pu (0.0666, 0.3712, 0.1997)
Pu (0.2404, 0.2404, 0.7877)
Pu (0.3712, 0.0666, 0.1997)
Pu (0.6288, 0.9334, 0.8003)
Pu (0.7596, 0.7596, 0.2123)
Pu (0.9334, 0.6288, 0.8003)
Te (0.1783, 0.8217, 0.5000)
Te (0.5000, 0.5000, 0.5000)
Te (0.8217, 0.1783, 0.5000)
P (0.3343, 0.6657, 0.0000)
P (0.6657, 0.3343, 0.0000)
N (0.0000, 0.0000, 0.0000)